Entry 1:
Material: Er2Si3Ni2
Method: DFT, PBE
State: relaxed

Output
**E_form (uncorrected)**: -805 meV per atom
**DOS at the Fermi energy**: 0.510 states/eV per atom
**Space group**: No. 63
**E above lowest polymorph**: 0.0 meV/atom

Unit cell a=4.046 b=6.564 c=8.820 alpha=90.00 beta=103.26 gamma=90.00
Fractional coordinates of all 14 atoms:
Ni (0.305, 0.054, 0.611)
Ni (0.695, 0.554, 0.389)
Ni (0.695, 0.946, 0.389)
Ni (0.305, 0.446, 0.611)
Si (0.436, 0.934, 0.872)
Si (0.564, 0.434, 0.128)
Si (0.564, 0.066, 0.128)
Si (0.777, 0.250, 0.554)
Si (0.223, 0.750, 0.446)
Si (0.436, 0.566, 0.872)
Er (0.053, 0.750, 0.105)
Er (0.947, 0.250, 0.895)
Er (0.842, 0.750, 0.684)
Er (0.158, 0.250, 0.316)

Entry 2:
Material: Er2Si2Ni3
Method: DFT, PBE
State: relaxed

Output
**E_form (uncorrected)**: -728 meV per atom
**DOS at the Fermi energy**: 0.665 states/eV per atom
**Space group**: No. 12

Unit cell a=3.704 b=5.392 c=6.639 alpha=114.98 beta=90.00 gamma=110.09
Fractional coordinates of all 7 atoms:
Er (0.866, 0.732, 0.239)
Er (0.134, 0.268, 0.761)
Si (0.856, 0.712, 0.780)
Si (0.144, 0.288, 0.220)
Ni (0.500, 0.000, 0.000)
Ni (0.636, 0.273, 0.429)
Ni (0.364, 0.727, 0.571)

Entry 3:
Material: Er2SiNi
Method: DFT, PBE
State: relaxed

Output
**E_form (uncorrected)**: -663 meV per atom
**DOS at the Fermi energy**: 0.383 states/eV per atom
**Space group**: No. 11
**E above lowest polymorph**: 0.0 meV/atom

Unit cell a=4.064 b=5.704 c=7.646 alpha=110.48 beta=90.00 gamma=90.00
Fractional coordinates of all 8 atoms:
Ni (0.750, 0.614, 0.780)
Ni (0.250, 0.386, 0.220)
Si (0.750, 0.657, 0.290)
Si (0.250, 0.343, 0.710)
Er (0.750, 0.222, 0.413)
Er (0.250, 0.780, 0.057)
Er (0.250, 0.778, 0.587)
Er (0.750, 0.220, 0.943)

Entry 4:
Material: ErSi2Ni8
Method: DFT, PBE
State: relaxed

Output
**E_form (uncorrected)**: 4 meV per atom
**DOS at the Fermi energy**: 0.715 states/eV per atom
**Space group**: No. 123

Unit cell a=5.569 b=5.569 c=4.987 alpha=90.00 beta=90.00 gamma=90.00
Fractional coordinates of all 11 atoms:
Ni (0.787, 0.213, 0.249)
Ni (0.213, 0.213, 0.249)
Ni (0.787, 0.787, 0.249)
Ni (0.213, 0.787, 0.249)
Ni (0.213, 0.787, 0.751)
Ni (0.787, 0.787, 0.751)
Ni (0.213, 0.213, 0.751)
Ni (0.787, 0.213, 0.751)
Er (0.500, 0.500, 0.500)
Si (0.000, 0.500, 0.000)
Si (0.500, 0.000, 0.000)

Entry 5:
Material: ErSi3Ni3
Method: DFT, PBE
State: relaxed

Output
**E_form (uncorrected)**: -249 meV per atom
**DOS at the Fermi energy**: 0.616 states/eV per atom
**Space group**: No. 223

Unit cell a=6.189 b=6.189 c=6.189 alpha=90.00 beta=90.00 gamma=90.00
Fractional coordinates of all 14 atoms:
Si (0.750, 0.500, 0.000)
Si (0.500, 0.000, 0.250)
Si (0.000, 0.750, 0.500)
Si (0.500, 0.000, 0.750)
Si (0.250, 0.500, 0.000)
Si (0.000, 0.250, 0.500)
Ni (0.500, 0.750, 0.000)
Ni (0.000, 0.500, 0.750)
Ni (0.000, 0.500, 0.250)
Ni (0.500, 0.250, 0.000)
Ni (0.750, 0.000, 0.500)
Ni (0.250, 0.000, 0.500)
Er (0.000, 0.000, 0.000)
Er (0.500, 0.500, 0.500)

Entry 6:
Material: Er3Si2Ni4
Method: DFT, PBE
State: relaxed

Output
**E_form (uncorrected)**: -681 meV per atom
**DOS at the Fermi energy**: 0.684 states/eV per atom
**Space group**: No. 12

Unit cell a=4.055 b=5.423 c=7.974 alpha=109.45 beta=90.00 gamma=111.96
Fractional coordinates of all 9 atoms:
Er (0.633, 0.267, 0.693)
Er (0.000, 0.000, 0.000)
Er (0.367, 0.733, 0.307)
Ni (0.893, 0.786, 0.574)
Ni (0.724, 0.448, 0.069)
Ni (0.107, 0.214, 0.426)
Ni (0.276, 0.552, 0.931)
Si (0.341, 0.682, 0.679)
Si (0.659, 0.318, 0.321)

Entry 7:
Material: ErSiNi2
Method: DFT, PBE
State: relaxed

Output
**E_form (uncorrected)**: -692 meV per atom
**DOS at the Fermi energy**: 0.599 states/eV per atom
**Space group**: No. 166

Unit cell a=3.975 b=3.975 c=5.161 alpha=67.35 beta=67.35 gamma=60.00
Fractional coordinates of all 4 atoms:
Ni (0.299, 0.299, 0.104)
Ni (0.701, 0.701, 0.896)
Er (0.500, 0.500, 0.500)
Si (0.000, 0.000, 0.000)

Entry 8:
Material: Er2Si7Ni12
Method: DFT, PBE
State: relaxed

Output
**E_form (uncorrected)**: -688 meV per atom
**DOS at the Fermi energy**: 0.503 states/eV per atom
**Space group**: No. 174

Unit cell a=3.678 b=9.190 c=9.190 alpha=120.00 beta=90.00 gamma=90.00
Fractional coordinates of all 21 atoms:
Er (0.500, 0.000, 0.000)
Er (0.000, 0.667, 0.333)
Si (0.000, 0.055, 0.784)
Si (0.500, 0.930, 0.368)
Si (0.500, 0.438, 0.070)
Si (0.000, 0.730, 0.945)
Si (0.500, 0.632, 0.562)
Si (0.000, 0.333, 0.667)
Si (0.000, 0.216, 0.270)
Ni (0.500, 0.541, 0.760)
Ni (0.000, 0.483, 0.946)
Ni (0.500, 0.218, 0.459)
Ni (0.500, 0.240, 0.782)
Ni (0.500, 0.385, 0.292)
Ni (0.000, 0.945, 0.223)
Ni (0.500, 0.708, 0.093)
Ni (0.500, 0.907, 0.615)
Ni (0.000, 0.777, 0.723)
Ni (0.000, 0.054, 0.537)
Ni (0.000, 0.463, 0.517)
Ni (0.000, 0.277, 0.055)

Please write out number 7 again, unchanged.
Material: ErSiNi2
Method: DFT, PBE
State: relaxed

Output
**E_form (uncorrected)**: -692 meV per atom
**DOS at the Fermi energy**: 0.599 states/eV per atom
**Space group**: No. 166

Unit cell a=3.975 b=3.975 c=5.161 alpha=67.35 beta=67.35 gamma=60.00
Fractional coordinates of all 4 atoms:
Ni (0.299, 0.299, 0.104)
Ni (0.701, 0.701, 0.896)
Er (0.500, 0.500, 0.500)
Si (0.000, 0.000, 0.000)

Q: Which formula does entry 1 have?
A: Er2Si3Ni2